# Rb2BBr | the Alexandria database | PBE | relaxed
# Polymorph energy (0 for the lowest one) in meV per atom: 0
# Uncorrected formation energy in eV per atom: 0.29
# Magnetization in μB per formula unit: 2.00
data_Rb2BBr
_chemical_formula_sum 'Rb8 B4 Br4'
_symmetry_space_group_name_H-M 'F m -3 m'
_symmetry_Int_Tables_number 225
_symmetry_space_group_name_Hall '-F 4 2 3'
_cell_length_a 8.290
_cell_length_b 8.290
_cell_length_c 8.290
_cell_angle_alpha 90.00
_cell_angle_beta 90.00
_cell_angle_gamma 90.00
loop_
_atom_site_label
_atom_site_fract_x
_atom_site_fract_y
_atom_site_fract_z
Rb1 0.250 0.250 0.250
B1 0.000 0.000 0.000
Br1 0.000 0.000 0.500

=====

# Rb3B2Br8 | the Alexandria database | PBE | relaxed
# Uncorrected formation energy in eV per atom: -0.87
# Magnetization in μB per formula unit: 0.00
data_Rb3B2Br8
_chemical_formula_sum 'Rb9 B6 Br24'
_symmetry_space_group_name_H-M 'R -3 m'
_symmetry_Int_Tables_number 166
_symmetry_space_group_name_Hall '-R 3 2"'
_cell_length_a 7.2667
_cell_length_b 7.2667
_cell_length_c 29.1933
_cell_angle_alpha 90.00
_cell_angle_beta 90.00
_cell_angle_gamma 120.00
loop_
_atom_site_label
_atom_site_fract_x
_atom_site_fract_y
_atom_site_fract_z
Rb1 0.0000 0.0000 0.0000
Rb2 0.0000 0.0000 0.2114
B1 0.0000 0.0000 0.4088
Br1 0.0000 0.0000 0.3383
Br2 0.0155 0.5077 0.2341

=====

# Rb3BBr6 | the Alexandria database | PBE | relaxed
# Polymorph energy (0 for the lowest one) in meV per atom: 300
# Uncorrected formation energy in eV per atom: -0.90
# Magnetization in μB per formula unit: 0.00
data_Rb3BBr6
_chemical_formula_sum 'Rb12 B4 Br24'
_symmetry_space_group_name_H-M 'F m -3 m'
_symmetry_Int_Tables_number 225
_symmetry_space_group_name_Hall '-F 4 2 3'
_cell_length_a 11.168
_cell_length_b 11.168
_cell_length_c 11.168
_cell_angle_alpha 90.00
_cell_angle_beta 90.00
_cell_angle_gamma 90.00
loop_
_atom_site_label
_atom_site_fract_x
_atom_site_fract_y
_atom_site_fract_z
Rb1 0.000 0.000 0.000
Rb2 0.250 0.250 0.250
B1 0.000 0.000 0.500
Br1 0.000 0.000 0.290

=====

# Rb2BBr5 | the Alexandria database | PBE | relaxed
# Uncorrected formation energy in eV per atom: -0.89
# Magnetization in μB per formula unit: 0.00
data_Rb2BBr5
_chemical_formula_sum 'Rb4 B2 Br10'
_symmetry_space_group_name_H-M 'I 4 m m'
_symmetry_Int_Tables_number 107
_symmetry_space_group_name_Hall 'I 4 -2'
_cell_length_a 7.683
_cell_length_b 7.683
_cell_length_c 9.613
_cell_angle_alpha 90.00
_cell_angle_beta 90.00
_cell_angle_gamma 90.00
loop_
_atom_site_label
_atom_site_fract_x
_atom_site_fract_y
_atom_site_fract_z
Rb1 0.000 0.500 0.000
B1 0.000 0.000 0.303
Br1 0.000 0.000 0.512
Br2 0.207 0.207 0.247

=====

# Rb2BBr | the Alexandria database | PBE | relaxed
# Polymorph energy (0 for the lowest one) in meV per atom: 13
# Uncorrected formation energy in eV per atom: 0.30
# Magnetization in μB per formula unit: 2.00
data_Rb2BBr
_chemical_formula_sum 'Rb8 B4 Br4'
_symmetry_space_group_name_H-M 'I -4 2 d'
_symmetry_Int_Tables_number 122
_symmetry_space_group_name_Hall 'I -4 2bw'
_cell_length_a 8.895
_cell_length_b 8.895
_cell_length_c 9.216
_cell_angle_alpha 90.00
_cell_angle_beta 90.00
_cell_angle_gamma 90.00
loop_
_atom_site_label
_atom_site_fract_x
_atom_site_fract_y
_atom_site_fract_z
Rb1 0.244 0.250 0.125
B1 0.000 0.000 0.000
Br1 0.000 0.000 0.500

=====

# RbB2Br2 | the Alexandria database | PBE | relaxed
# Polymorph energy (0 for the lowest one) in meV per atom: 263
# Uncorrected formation energy in eV per atom: 1.00
# Magnetization in μB per formula unit: 1.00
data_RbB2Br2
_chemical_formula_sum 'Rb2 B4 Br4'
_symmetry_space_group_name_H-M 'P 4/m b m'
_symmetry_Int_Tables_number 127
_symmetry_space_group_name_Hall '-P 4 2ab'
_cell_length_a 9.162
_cell_length_b 9.162
_cell_length_c 3.425
_cell_angle_alpha 90.00
_cell_angle_beta 90.00
_cell_angle_gamma 90.00
loop_
_atom_site_label
_atom_site_fract_x
_atom_site_fract_y
_atom_site_fract_z
Rb1 0.000 0.000 0.000
B1 0.248 0.252 0.500
Br1 0.138 0.638 0.000

=====

# Rb3BBr | the Alexandria database | PBE | relaxed
# Polymorph energy (0 for the lowest one) in meV per atom: 0
# Uncorrected formation energy in eV per atom: 0.18
# Magnetization in μB per formula unit: 3.00
data_Rb3BBr
_chemical_formula_sum 'Rb3 B1 Br1'
_symmetry_space_group_name_H-M 'P m -3 m'
_symmetry_Int_Tables_number 221
_symmetry_space_group_name_Hall '-P 4 2 3'
_cell_length_a 6.306
_cell_length_b 6.306
_cell_length_c 6.306
_cell_angle_alpha 90.00
_cell_angle_beta 90.00
_cell_angle_gamma 90.00
loop_
_atom_site_label
_atom_site_fract_x
_atom_site_fract_y
_atom_site_fract_z
Rb1 0.000 0.000 0.500
B1 0.000 0.000 0.000
Br1 0.500 0.500 0.500

=====

# Rb3BBr6 | the Alexandria database | PBE | relaxed
# Polymorph energy (0 for the lowest one) in meV per atom: 0
# Uncorrected formation energy in eV per atom: -1.20
# Magnetization in μB per formula unit: 0.00
data_Rb3BBr6
_chemical_formula_sum 'Rb12 B4 Br24'
_symmetry_space_group_name_H-M 'C m c 21'
_symmetry_Int_Tables_number 36
_symmetry_space_group_name_Hall 'C 2c -2'
_cell_length_a 13.713
_cell_length_b 16.256
_cell_length_c 8.362
_cell_angle_alpha 90.00
_cell_angle_beta 90.00
_cell_angle_gamma 90.00
loop_
_atom_site_label
_atom_site_fract_x
_atom_site_fract_y
_atom_site_fract_z
Rb1 0.000 0.071 0.000
Rb2 0.194 0.403 0.946
B1 0.000 0.327 0.519
Br1 0.000 0.322 0.275
Br2 0.000 0.447 0.595
Br3 0.121 0.271 0.606
Br4 0.169 0.021 0.730

=====

# RbB2Br | the Alexandria database | PBE | relaxed
# Polymorph energy (0 for the lowest one) in meV per atom: 0
# Uncorrected formation energy in eV per atom: 1.09
# Magnetization in μB per formula unit: 0.00
data_RbB2Br
_chemical_formula_sum 'Rb4 B8 Br4'
_symmetry_space_group_name_H-M 'I 41/a m d'
_symmetry_Int_Tables_number 141
_cell_length_a 4.068
_cell_length_b 4.068
_cell_length_c 20.806
_cell_angle_alpha 90.00
_cell_angle_beta 90.00
_cell_angle_gamma 90.00
loop_
_symmetry_equiv_pos_as_xyz
'x,y,z'
'-x,-y,-z'
'-y+1/4,x+3/4,z+1/4'
'y+1/4,-x+3/4,-z+1/4'
'-x+1/2,-y,z+1/2'
'x+1/2,y,-z+1/2'
'y+1/4,-x+1/4,z+3/4'
'-y+1/4,x+1/4,-z+3/4'
'x,-y,-z'
'-x,y,z'
'-y+1/4,-x+1/4,-z+3/4'
'y+1/4,x+1/4,z+3/4'
'-x+1/2,y,-z+1/2'
'x+1/2,-y,z+1/2'
'y+1/4,x+3/4,-z+1/4'
'-y+1/4,-x+3/4,z+1/4'
'x+1/2,y+1/2,z+1/2'
'-x+1/2,-y+1/2,-z+1/2'
'-y+3/4,x+1/4,z+3/4'
'y+3/4,-x+1/4,-z+3/4'
'-x,-y+1/2,z'
'x,y+1/2,-z'
'y+3/4,-x+3/4,z+1/4'
'-y+3/4,x+3/4,-z+1/4'
'x+1/2,-y+1/2,-z+1/2'
'-x+1/2,y+1/2,z+1/2'
'-y+3/4,-x+3/4,-z+1/4'
'y+3/4,x+3/4,z+1/4'
'-x,y+1/2,-z'
'x,-y+1/2,z'
'y+3/4,x+1/4,-z+3/4'
'-y+3/4,-x+1/4,z+3/4'
loop_
_atom_site_label
_atom_site_fract_x
_atom_site_fract_y
_atom_site_fract_z
Rb1 0.000 0.250 0.375
B1 0.000 0.000 0.000
Br1 0.000 0.250 0.875

=====

# RbB2Br | the Alexandria database | PBE | relaxed
# Polymorph energy (0 for the lowest one) in meV per atom: 824
# Uncorrected formation energy in eV per atom: 1.91
# Magnetization in μB per formula unit: 0.00
data_RbB2Br
_chemical_formula_sum 'Rb4 B8 Br4'
_symmetry_space_group_name_H-M 'F m -3 m'
_symmetry_Int_Tables_number 225
_symmetry_space_group_name_Hall '-F 4 2 3'
_cell_length_a 7.197
_cell_length_b 7.197
_cell_length_c 7.197
_cell_angle_alpha 90.00
_cell_angle_beta 90.00
_cell_angle_gamma 90.00
loop_
_atom_site_label
_atom_site_fract_x
_atom_site_fract_y
_atom_site_fract_z
Rb1 0.000 0.000 0.000
B1 0.250 0.250 0.250
Br1 0.000 0.000 0.500

=====

# RbBBr2 | the Alexandria database | PBE | relaxed
# Polymorph energy (0 for the lowest one) in meV per atom: 238
# Uncorrected formation energy in eV per atom: 0.22
# Magnetization in μB per formula unit: 0.00
data_RbBBr2
_chemical_formula_sum 'Rb4 B4 Br8'
_symmetry_space_group_name_H-M 'F m -3 m'
_symmetry_Int_Tables_number 225
_symmetry_space_group_name_Hall '-F 4 2 3'
_cell_length_a 7.741
_cell_length_b 7.741
_cell_length_c 7.741
_cell_angle_alpha 90.00
_cell_angle_beta 90.00
_cell_angle_gamma 90.00
loop_
_atom_site_label
_atom_site_fract_x
_atom_site_fract_y
_atom_site_fract_z
Rb1 0.000 0.000 0.000
B1 0.000 0.000 0.500
Br1 0.250 0.250 0.250

=====

# RbB2Br2 | the Alexandria database | PBE | relaxed
# Polymorph energy (0 for the lowest one) in meV per atom: 0
# Uncorrected formation energy in eV per atom: 0.74
# Magnetization in μB per formula unit: 0.00
data_RbB2Br2
_chemical_formula_sum 'Rb2 B4 Br4'
_symmetry_space_group_name_H-M 'I 4/m m m'
_symmetry_Int_Tables_number 139
_symmetry_space_group_name_Hall '-I 4 2'
_cell_length_a 3.267
_cell_length_b 3.267
_cell_length_c 19.053
_cell_angle_alpha 90.00
_cell_angle_beta 90.00
_cell_angle_gamma 90.00
loop_
_atom_site_label
_atom_site_fract_x
_atom_site_fract_y
_atom_site_fract_z
Rb1 0.000 0.000 0.000
B1 0.000 0.500 0.250
Br1 0.000 0.000 0.374

=====

# RbBBr6 | the Alexandria database | PBE | relaxed
# Uncorrected formation energy in eV per atom: -0.23
# Magnetization in μB per formula unit: 0.00
data_RbBBr6
_chemical_formula_sum 'Rb2 B2 Br12'
_symmetry_space_group_name_H-M 'C 1 2/m 1'
_symmetry_Int_Tables_number 12
_symmetry_space_group_name_Hall '-C 2y'
_cell_length_a 9.325
_cell_length_b 8.787
_cell_length_c 7.872
_cell_angle_alpha 90.00
_cell_angle_beta 111.57
_cell_angle_gamma 90.00
loop_
_atom_site_label
_atom_site_fract_x
_atom_site_fract_y
_atom_site_fract_z
Rb1 0.000 0.000 0.000
B1 0.000 0.500 0.500
Br1 0.142 0.332 0.684
Br2 0.194 0.000 0.711

=====

# RbBBr2 | the Alexandria database | PBE | relaxed
# Polymorph energy (0 for the lowest one) in meV per atom: 0
# Uncorrected formation energy in eV per atom: -0.01
# Magnetization in μB per formula unit: 0.00
data_RbBBr2
_chemical_formula_sum 'Rb4 B4 Br8'
_symmetry_space_group_name_H-M 'I -4 2 d'
_symmetry_Int_Tables_number 122
_symmetry_space_group_name_Hall 'I -4 2bw'
_cell_length_a 6.695
_cell_length_b 6.695
_cell_length_c 13.520
_cell_angle_alpha 90.00
_cell_angle_beta 90.00
_cell_angle_gamma 90.00
loop_
_atom_site_label
_atom_site_fract_x
_atom_site_fract_y
_atom_site_fract_z
Rb1 0.000 0.000 0.000
B1 0.000 0.000 0.500
Br1 0.125 0.250 0.625

=====

# Rb2ReBBr6 | the Alexandria database | PBE | relaxed
# Uncorrected formation energy in eV per atom: -0.37
# Magnetization in μB per formula unit: 2.82
data_Rb2ReBBr6
_chemical_formula_sum 'Rb4 Re2 B2 Br12'
_symmetry_space_group_name_H-M 'I 4/m m m'
_symmetry_Int_Tables_number 139
_symmetry_space_group_name_Hall '-I 4 2'
_cell_length_a 7.487
_cell_length_b 7.487
_cell_length_c 10.750
_cell_angle_alpha 90.00
_cell_angle_beta 90.00
_cell_angle_gamma 90.00
loop_
_atom_site_label
_atom_site_fract_x
_atom_site_fract_y
_atom_site_fract_z
Rb1 0.000 0.500 0.250
Re1 0.000 0.000 0.000
B1 0.000 0.000 0.500
Br1 0.000 0.000 0.239
Br2 0.244 0.244 0.000

=====

# RbBRu2Br | the Alexandria database | PBE | relaxed
# Uncorrected formation energy in eV per atom: 3.05
# Magnetization in μB per formula unit: 3.89
data_RbBRu2Br
_chemical_formula_sum 'Rb1 B1 Ru2 Br1'
_symmetry_space_group_name_H-M 'P 4/m m m'
_symmetry_Int_Tables_number 123
_symmetry_space_group_name_Hall '-P 4 2'
_cell_length_a 5.108
_cell_length_b 5.108
_cell_length_c 5.029
_cell_angle_alpha 90.00
_cell_angle_beta 90.00
_cell_angle_gamma 90.00
loop_
_atom_site_label
_atom_site_fract_x
_atom_site_fract_y
_atom_site_fract_z
Rb1 0.000 0.000 0.000
B1 0.000 0.000 0.500
Ru1 0.000 0.500 0.000
Br1 0.500 0.500 0.500

=====

# Rb2BSBr6 | the Alexandria database | PBE | relaxed
# Uncorrected formation energy in eV per atom: -0.51
# Magnetization in μB per formula unit: 0.00
data_Rb2BSBr6
_chemical_formula_sum 'Rb4 B2 S2 Br12'
_symmetry_space_group_name_H-M 'I 4/m m m'
_symmetry_Int_Tables_number 139
_symmetry_space_group_name_Hall '-I 4 2'
_cell_length_a 7.373
_cell_length_b 7.373
_cell_length_c 11.429
_cell_angle_alpha 90.00
_cell_angle_beta 90.00
_cell_angle_gamma 90.00
loop_
_atom_site_label
_atom_site_fract_x
_atom_site_fract_y
_atom_site_fract_z
Rb1 0.000 0.500 0.250
B1 0.000 0.000 0.000
S1 0.000 0.000 0.500
Br1 0.000 0.000 0.282
Br2 0.211 0.211 0.000

=====

# Rb2ScBBr6 | the Alexandria database | PBE | relaxed
# Uncorrected formation energy in eV per atom: -1.07
# Magnetization in μB per formula unit: 0.00
data_Rb2ScBBr6
_chemical_formula_sum 'Rb8 Sc4 B4 Br24'
_symmetry_space_group_name_H-M 'F m -3 m'
_symmetry_Int_Tables_number 225
_symmetry_space_group_name_Hall '-F 4 2 3'
_cell_length_a 10.827
_cell_length_b 10.827
_cell_length_c 10.827
_cell_angle_alpha 90.00
_cell_angle_beta 90.00
_cell_angle_gamma 90.00
loop_
_atom_site_label
_atom_site_fract_x
_atom_site_fract_y
_atom_site_fract_z
Rb1 0.250 0.250 0.250
Sc1 0.000 0.000 0.000
B1 0.000 0.000 0.500
Br1 0.000 0.000 0.247

=====

# RbBSe2Br | the Alexandria database | PBE | relaxed
# Polymorph energy (0 for the lowest one) in meV per atom: 1486
# Uncorrected formation energy in eV per atom: 1.48
# Magnetization in μB per formula unit: 3.00
data_RbBSe2Br
_chemical_formula_sum 'Rb1 B1 Se2 Br1'
_symmetry_space_group_name_H-M 'P 4/m m m'
_symmetry_Int_Tables_number 123
_symmetry_space_group_name_Hall '-P 4 2'
_cell_length_a 6.458
_cell_length_b 6.458
_cell_length_c 6.371
_cell_angle_alpha 90.00
_cell_angle_beta 90.00
_cell_angle_gamma 90.00
loop_
_atom_site_label
_atom_site_fract_x
_atom_site_fract_y
_atom_site_fract_z
Rb1 0.000 0.000 0.000
B1 0.500 0.500 0.500
Se1 0.000 0.500 0.000
Br1 0.000 0.000 0.500

=====

# Rb2BSeBr6 | the Alexandria database | PBE | relaxed
# Uncorrected formation energy in eV per atom: -0.57
# Magnetization in μB per formula unit: 0.00
data_Rb2BSeBr6
_chemical_formula_sum 'Rb4 B2 Se2 Br12'
_symmetry_space_group_name_H-M 'I 4/m m m'
_symmetry_Int_Tables_number 139
_symmetry_space_group_name_Hall '-I 4 2'
_cell_length_a 7.463
_cell_length_b 7.463
_cell_length_c 11.594
_cell_angle_alpha 90.00
_cell_angle_beta 90.00
_cell_angle_gamma 90.00
loop_
_atom_site_label
_atom_site_fract_x
_atom_site_fract_y
_atom_site_fract_z
Rb1 0.000 0.500 0.250
B1 0.000 0.000 0.000
Se1 0.000 0.000 0.500
Br1 0.000 0.000 0.276
Br2 0.209 0.209 0.000